[1]
# UMnNi6 GGA-PBE optimized geometry
# * DOS(E_F): 3.587 states/eV per cell
# * calculated formation energy: -187.8 meV/atom
# * calculated volume: 101.2 Å³ per cell
# * electronic total energy: -7.08 eV/atom
data_UMnNi6
_symmetry_space_group_name_H-M 'P 1'
_symmetry_Int_Tables_number 1
_symmetry_space_group_name_Hall 'P 1'
_cell_length_a 5.2048
_cell_length_b 5.2048
_cell_length_c 3.7366
_cell_angle_alpha 90.00
_cell_angle_beta 90.00
_cell_angle_gamma 90.00
loop_
_atom_site_label
_atom_site_type_symbol
_atom_site_fract_x
_atom_site_fract_y
_atom_site_fract_z
_atom_site_occupancy
U1 U 0.0000 0.0000 0.0000 1
Mn1 Mn 0.5000 0.5000 0.0000 1
Ni1 Ni 0.0000 0.5000 0.0000 1
Ni2 Ni 0.2532 0.2532 0.5000 1
Ni3 Ni 0.2532 0.7468 0.5000 1
Ni4 Ni 0.5000 0.0000 0.0000 1
Ni5 Ni 0.7468 0.2532 0.5000 1
Ni6 Ni 0.7468 0.7468 0.5000 1



[2]
# UMnNi10 GGA-PBE optimized geometry
# * DOS(E_F): 13.800 states/eV per cell
# * calculated formation energy: -45.5 meV/atom
# * calculated volume: 154.6 Å³ per cell
# * electronic total energy: -6.57 eV/atom
data_UMnNi10
_symmetry_space_group_name_H-M 'P 1'
_symmetry_Int_Tables_number 1
_symmetry_space_group_name_Hall 'P 1'
_cell_length_a 3.9910
_cell_length_b 4.7475
_cell_length_c 8.1596
_cell_angle_alpha 90.00
_cell_angle_beta 90.00
_cell_angle_gamma 90.00
loop_
_atom_site_label
_atom_site_type_symbol
_atom_site_fract_x
_atom_site_fract_y
_atom_site_fract_z
_atom_site_occupancy
U1 U 0.0000 0.0000 0.0000 1
Mn1 Mn 0.0000 0.5000 0.5000 1
Ni1 Ni 0.0000 0.0000 0.3362 1
Ni2 Ni 0.0000 0.0000 0.6638 1
Ni3 Ni 0.0000 0.5000 0.1751 1
Ni4 Ni 0.0000 0.5000 0.8249 1
Ni5 Ni 0.5000 0.0000 0.5000 1
Ni6 Ni 0.5000 0.2493 0.2513 1
Ni7 Ni 0.5000 0.2493 0.7487 1
Ni8 Ni 0.5000 0.5000 0.0000 1
Ni9 Ni 0.5000 0.7507 0.2513 1
Ni10 Ni 0.5000 0.7507 0.7487 1



[3]
# U2MnNi9 GGA-PBE optimized geometry
# * distance to the lowest polymorph of the same formula: 10 meV/atom
# * DOS(E_F): 15.899 states/eV per cell
# * calculated formation energy: -117.0 meV/atom
# * calculated volume: 161.4 Å³ per cell
# * electronic total energy: -7.10 eV/atom
data_U2MnNi9
_symmetry_space_group_name_H-M 'P 1'
_symmetry_Int_Tables_number 1
_symmetry_space_group_name_Hall 'P 1'
_cell_length_a 8.5566
_cell_length_b 8.5566
_cell_length_c 8.5566
_cell_angle_alpha 32.56
_cell_angle_beta 32.56
_cell_angle_gamma 32.56
loop_
_atom_site_label
_atom_site_type_symbol
_atom_site_fract_x
_atom_site_fract_y
_atom_site_fract_z
_atom_site_occupancy
U1 U 0.1381 0.1381 0.1381 1
U2 U 0.8619 0.8619 0.8619 1
Mn1 Mn 0.0000 0.0000 0.0000 1
Ni1 Ni 0.0817 0.5827 0.5827 1
Ni2 Ni 0.3330 0.3330 0.3330 1
Ni3 Ni 0.4173 0.4173 0.9183 1
Ni4 Ni 0.4173 0.9183 0.4173 1
Ni5 Ni 0.5000 0.5000 0.5000 1
Ni6 Ni 0.5827 0.0817 0.5827 1
Ni7 Ni 0.5827 0.5827 0.0817 1
Ni8 Ni 0.6670 0.6670 0.6670 1
Ni9 Ni 0.9183 0.4173 0.4173 1